# 1
Density functional theory data (PBE) for an optimized crystal structure of ZnCu2Ni8.

Unit cell a=6.4672 b=12.4707 c=4.2989 alpha=90.00 beta=130.61 gamma=90.00
Last column: nearest neighbours and their distance in Å.
Space group C2/m (No. 12)
Asymmetric unit:
Zn1 0.0000 0.0000 0.0000 x2  4 Ni 2.45-2.48
Cu1 0.0000 0.3168 0.5000 x4  12 Ni 2.46-2.62
Ni1 0.0000 0.1965 0.0000 x4  6 Ni 2.44-2.57, 1 Zn 2.45, 4 Cu 2.46-2.62
Ni2 0.0377 0.5000 0.7821 x4  4 Ni 2.14-2.34
Ni3 0.2388 0.1373 0.7296 x8  7 Ni 2.34-2.57, 3 Cu 2.51-2.62

Computed properties:
Calculated formation energy = 164 meV per atom
Distance to the lowest polymorph of the same formula = 0.977 kcal/mol of atoms
Final energy = -107.819 eV per cell
Spin magnetization = 0.30 μB per atom

=====

# 2
Density functional theory data (PBE) for an optimized crystal structure of Zn2CuNi4.

Unit cell a=2.5187 b=3.9919 c=16.7148 alpha=90.00 beta=90.00 gamma=90.00
Last column: nearest neighbours and their distance in Å.
Space group Immm (No. 71)
Asymmetric unit:
Zn1 0.0000 0.0000 0.0867 x4  2 Zn 2.52, 6 Ni 2.55-2.66, 4 Cu 2.77
Cu1 0.0000 0.0000 0.5000 x2  2 Ni 2.43, 2 Cu 2.52
Ni1 0.0000 0.0000 0.3548 x4  6 Ni 2.42-2.52, 1 Cu 2.43, 4 Zn 2.55
Ni2 0.0000 0.5000 0.2729 x4  10 Ni 2.42-2.52, 2 Zn 2.66

Computed properties:
Calculated formation energy = -49 meV per atom
Distance to the lowest polymorph of the same formula = 0.000 kcal/mol of atoms
Final energy = -60.219 eV per cell
Spin magnetization = 0.13 μB per atom

=====

# 3
Density functional theory data (PBE) for an optimized crystal structure of Zn2CuNi4.

Unit cell a=4.4528 b=4.4528 c=9.5391 alpha=90.00 beta=90.00 gamma=90.00
Last column: nearest neighbours and their distance in Å.
Space group I4/mmm (No. 139)
Asymmetric unit:
Zn1 0.0000 0.0000 0.1376 x4  8 Ni 2.47-2.58, 1 Zn 2.63
Cu1 0.0000 0.0000 0.5000 x2  4 Ni 2.23
Ni1 0.0000 0.5000 0.0000 x4  2 Cu 2.23, 2 Ni 2.38
Ni2 0.0000 0.5000 0.2500 x4  2 Ni 2.38, 4 Zn 2.47

Computed properties:
Calculated formation energy = 374 meV per atom
Distance to the lowest polymorph of the same formula = 9.734 kcal/mol of atoms
Final energy = -54.310 eV per cell
Spin magnetization = 0.08 μB per atom

=====

# 4
Density functional theory data (PBE) for an optimized crystal structure of Zn4CuNi.

Unit cell a=6.9120 b=6.9120 c=6.9120 alpha=90.00 beta=90.00 gamma=90.00
Last column: nearest neighbours and their distance in Å.
Space group F-43m (No. 216)
Asymmetric unit:
Zn1 0.1252 0.1252 0.1252 x16  6 Zn 2.44-2.45
Cu1 0.2500 0.2500 0.7500 x4  12 Zn 2.87, 4 Ni 2.99
Ni1 0.0000 0.0000 0.5000 x4  12 Zn 2.87, 4 Cu 2.99

Computed properties:
Calculated formation energy = 87 meV per atom
Distance to the lowest polymorph of the same formula = 4.587 kcal/mol of atoms
Final energy = -57.795 eV per cell
Spin magnetization = 0.00 μB per atom